Run A
VASP calculation (GGA-PBE) on PrDy4Sc2 after structural relaxation.

## Properties
Its magnetization is 0.0 μB per cell. Its space-group type is P2_1/m, No. 11.

Cell lengths 5.5824, 6.6885, 11.6665 Å; angles 90.00, 104.42, 90.00 degrees
Fractional positions:
Sc 0.5596 0.7500 0.0004
Sc 0.7663 0.7500 0.5649
Sc 0.2337 0.2500 0.4351
Sc 0.4404 0.2500 0.9996
Dy 0.9579 0.7500 0.8408
Dy 0.8049 0.2500 0.5721
Dy 0.6433 0.4976 0.2955
Dy 0.3567 0.9976 0.7045
Dy 0.3567 0.5024 0.7045
Dy 0.6433 0.0024 0.2955
Dy 0.0421 0.2500 0.1592
Dy 0.1951 0.7500 0.4279
Pr 0.1325 0.7500 0.1350
Pr 0.8675 0.2500 0.8650

---

Run B
VASP calculation (GGA-PBE) on PrDy4Sc2 after structural relaxation.

## Properties
Its magnetization is 0.0 μB per cell. Its space-group type is P1, No. 1.

Cell lengths 8.3978, 9.2068, 6.9451 Å; angles 112.08, 101.99, 111.61 degrees
Fractional positions:
Dy 0.3827 0.0814 0.8373
Dy 0.2482 0.6112 0.0674
Dy 0.6688 0.9165 0.5680
Dy 0.9311 0.7377 0.8031
Dy 0.5183 0.4766 0.8199
Dy 0.9377 0.7484 0.3072
Dy 0.3836 0.0770 0.3353
Dy 0.7989 0.3371 0.3218
Pr 0.2613 0.6253 0.5815
Pr 0.0691 0.2006 0.0730
Sc 0.5215 0.4813 0.3200
Sc 0.0636 0.2047 0.5693
Sc 0.8011 0.3421 0.8199
Sc 0.6641 0.9103 0.0763

---

Which of them is most stable? Easy: run B.